Entry 1:
{
  "formula": "Pr7Sm3Ho",
  "functional": "GGA-PBE",
  "state": "relaxed",
  "magnetic_moment_mub_per_atom": 0.000,
  "formation_enthalpy_0k_ev_per_atom": 0.184,
  "spacegroup": "No. 15",
  "total_energy_ev_per_atom": -4.56,
  "vol_a3_per_atom": 36.2,
  "cell": [[9.4454, -3.5881, 0.0000], [9.4454, 3.5881, 0.0000], [-5.2259, 0.0000, 11.7608]],
  "species": ["Pr", "Pr", "Pr", "Pr", "Pr", "Pr", "Pr", "Pr", "Pr", "Pr", "Pr", "Pr", "Pr", "Pr", "Sm", "Sm", "Sm", "Sm", "Sm", "Sm", "Ho", "Ho"],
  "fractional_positions": [[0.0725, 0.5926, 0.4710], [0.0745, 0.5850, 0.9647], [0.1472, 0.8528, 0.7500], [0.3381, 0.3907, 0.2243], [0.3907, 0.3381, 0.7243], [0.4074, 0.9275, 0.0290], [0.4150, 0.9255, 0.5353], [0.5850, 0.0745, 0.4647], [0.5926, 0.0725, 0.9710], [0.6093, 0.6619, 0.2757], [0.6619, 0.6093, 0.7757], [0.8528, 0.1472, 0.2500], [0.9255, 0.4150, 0.0353], [0.9275, 0.4074, 0.5290], [0.1704, 0.1889, 0.2734], [0.1889, 0.1704, 0.7734], [0.5000, 0.5000, 0.0000], [0.5000, 0.5000, 0.5000], [0.8111, 0.8296, 0.2266], [0.8296, 0.8111, 0.7266], [0.0000, 0.0000, 0.0000], [0.0000, 0.0000, 0.5000]]
}

***

Entry 2:
{
  "formula": "Pr6Sm3Ho",
  "functional": "GGA-PBE",
  "state": "relaxed",
  "magnetic_moment_mub_per_atom": 0.000,
  "formation_enthalpy_0k_ev_per_atom": 0.134,
  "spacegroup": "No. 36",
  "total_energy_ev_per_atom": -4.61,
  "vol_a3_per_atom": 35.2,
  "cell": [[5.5213, -9.7384, 0.0000], [5.5213, 9.7384, 0.0000], [0.0000, 0.0000, 6.5412]],
  "species": ["Pr", "Pr", "Pr", "Pr", "Pr", "Pr", "Pr", "Pr", "Pr", "Pr", "Pr", "Pr", "Sm", "Sm", "Sm", "Sm", "Sm", "Sm", "Ho", "Ho"],
  "fractional_positions": [[0.0340, 0.9660, 0.5000], [0.0600, 0.4774, 0.0023], [0.2793, 0.7207, 0.2907], [0.2886, 0.3707, 0.1925], [0.3707, 0.2886, 0.6925], [0.4774, 0.0600, 0.5023], [0.5226, 0.9400, 0.0023], [0.6293, 0.7114, 0.1925], [0.7114, 0.6293, 0.6925], [0.7207, 0.2793, 0.7907], [0.9400, 0.5226, 0.5023], [0.9660, 0.0340, 0.0000], [0.0563, 0.2902, 0.5992], [0.2902, 0.0563, 0.0992], [0.3840, 0.6160, 0.7197], [0.6160, 0.3840, 0.2197], [0.7098, 0.9437, 0.5992], [0.9437, 0.7098, 0.0992], [0.1917, 0.8083, 0.7481], [0.8083, 0.1917, 0.2481]]
}

***

Entry 3:
{
  "formula": "Pr6Sm2Ho5",
  "functional": "GGA-PBE",
  "state": "relaxed",
  "magnetic_moment_mub_per_atom": 0.000,
  "formation_enthalpy_0k_ev_per_atom": 0.103,
  "spacegroup": "No. 55",
  "total_energy_ev_per_atom": -4.59,
  "vol_a3_per_atom": 34.4,
  "cell": [[11.8425, 0.0000, 0.0000], [0.0000, 20.6760, 0.0000], [0.0000, 0.0000, 3.6578]],
  "species": ["Pr", "Pr", "Pr", "Pr", "Pr", "Pr", "Pr", "Pr", "Pr", "Pr", "Pr", "Pr", "Sm", "Sm", "Sm", "Sm", "Ho", "Ho", "Ho", "Ho", "Ho", "Ho", "Ho", "Ho", "Ho", "Ho"],
  "fractional_positions": [[0.0588, 0.0787, 0.0000], [0.0816, 0.3660, 0.0000], [0.1759, 0.6301, 0.5000], [0.3241, 0.1301, 0.5000], [0.4184, 0.8660, 0.0000], [0.4412, 0.5787, 0.0000], [0.5588, 0.4213, 0.0000], [0.5816, 0.1340, 0.0000], [0.6759, 0.8699, 0.5000], [0.8241, 0.3699, 0.5000], [0.9184, 0.6340, 0.0000], [0.9412, 0.9213, 0.0000], [0.1658, 0.7868, 0.0000], [0.3342, 0.2868, 0.0000], [0.6658, 0.7132, 0.0000], [0.8342, 0.2132, 0.0000], [0.0000, 0.5000, 0.5000], [0.0938, 0.2245, 0.5000], [0.1993, 0.9440, 0.5000], [0.3007, 0.4440, 0.5000], [0.4062, 0.7245, 0.5000], [0.5000, 0.0000, 0.5000], [0.5938, 0.2755, 0.5000], [0.6993, 0.5560, 0.5000], [0.8007, 0.0560, 0.5000], [0.9062, 0.7755, 0.5000]]
}

***

Entry 4:
{
  "formula": "PrSm4Ho2",
  "functional": "GGA-PBE",
  "state": "relaxed",
  "magnetic_moment_mub_per_atom": 0.000,
  "formation_enthalpy_0k_ev_per_atom": 0.121,
  "spacegroup": "No. 11",
  "total_energy_ev_per_atom": -4.57,
  "vol_a3_per_atom": 33.3,
  "cell": [[6.1861, 0.0000, 0.0000], [0.0000, 6.6420, 0.0000], [-2.8800, 0.0000, 11.3313]],
  "species": ["Pr", "Pr", "Sm", "Sm", "Sm", "Sm", "Sm", "Sm", "Sm", "Sm", "Ho", "Ho", "Ho", "Ho"],
  "fractional_positions": [[0.0229, 0.2500, 0.3527], [0.9771, 0.7500, 0.6473], [0.1520, 0.2500, 0.6546], [0.2925, 0.7500, 0.9350], [0.3576, 0.5052, 0.2122], [0.3576, 0.9948, 0.2122], [0.6424, 0.0052, 0.7878], [0.6424, 0.4948, 0.7878], [0.7075, 0.2500, 0.0650], [0.8480, 0.7500, 0.3454], [0.1465, 0.2500, 0.9426], [0.4001, 0.7500, 0.5011], [0.5999, 0.2500, 0.4989], [0.8535, 0.7500, 0.0574]]
}

***

Entry 5:
{
  "formula": "Pr3SmHo5",
  "functional": "GGA-PBE",
  "state": "relaxed",
  "magnetic_moment_mub_per_atom": 0.000,
  "formation_enthalpy_0k_ev_per_atom": 0.514,
  "spacegroup": "No. 12",
  "total_energy_ev_per_atom": -4.15,
  "vol_a3_per_atom": 37.2,
  "cell": [[7.7379, -5.6593, 0.0000], [7.7379, 5.6593, 0.0000], [-6.5432, 0.0000, 7.6478]],
  "species": ["Pr", "Pr", "Pr", "Pr", "Pr", "Pr", "Sm", "Sm", "Ho", "Ho", "Ho", "Ho", "Ho", "Ho", "Ho", "Ho", "Ho", "Ho"],
  "fractional_positions": [[0.0000, 0.0000, 0.0000], [0.0083, 0.0083, 0.7089], [0.4746, 0.4746, 0.8131], [0.5000, 0.5000, 0.5000], [0.5254, 0.5254, 0.1869], [0.9917, 0.9917, 0.2911], [0.2535, 0.2535, 0.4095], [0.7465, 0.7465, 0.5905], [0.0932, 0.5908, 0.9380], [0.2159, 0.2159, 0.7090], [0.2418, 0.7582, 0.5000], [0.2772, 0.2772, 0.0919], [0.4092, 0.9068, 0.0620], [0.5908, 0.0932, 0.9380], [0.7228, 0.7228, 0.9081], [0.7582, 0.2418, 0.5000], [0.7841, 0.7841, 0.2910], [0.9068, 0.4092, 0.0620]]
}

***

Entry 6:
{
  "formula": "Pr5Sm4Ho",
  "functional": "GGA-PBE",
  "state": "relaxed",
  "magnetic_moment_mub_per_atom": 0.000,
  "formation_enthalpy_0k_ev_per_atom": 0.015,
  "spacegroup": "No. 2",
  "total_energy_ev_per_atom": -4.72,
  "vol_a3_per_atom": 34.7,
  "cell": [[3.6614, 0.0000, 0.0000], [-1.8253, 9.4988, 0.0000], [-0.0195, -2.8367, 9.9884]],
  "species": ["Pr", "Pr", "Pr", "Pr", "Pr", "Sm", "Sm", "Sm", "Sm", "Ho"],
  "fractional_positions": [[0.0000, 0.0000, 0.0000], [0.1993, 0.3999, 0.0999], [0.4004, 0.8019, 0.6958], [0.5996, 0.1981, 0.3042], [0.8007, 0.6001, 0.9001], [0.2003, 0.3991, 0.6000], [0.4005, 0.8005, 0.2047], [0.5995, 0.1995, 0.7953], [0.7997, 0.6009, 0.4000], [0.0000, 0.0000, 0.5000]]
}

***

Entry 7:
{
  "formula": "Pr2SmHo8",
  "functional": "GGA-PBE",
  "state": "relaxed",
  "magnetic_moment_mub_per_atom": 0.000,
  "formation_enthalpy_0k_ev_per_atom": 0.165,
  "spacegroup": "No. 12",
  "total_energy_ev_per_atom": -4.46,
  "vol_a3_per_atom": 33.7,
  "cell": [[9.4629, -3.5103, 0.0000], [9.4629, 3.5103, 0.0000], [-0.2656, 0.0000, 5.5722]],
  "species": ["Pr", "Pr", "Sm", "Ho", "Ho", "Ho", "Ho", "Ho", "Ho", "Ho", "Ho"],
  "fractional_positions": [[0.2156, 0.2156, 0.2519], [0.7844, 0.7844, 0.7481], [0.5000, 0.5000, 0.0000], [0.0455, 0.0455, 0.2374], [0.1043, 0.6368, 0.2673], [0.3151, 0.3151, 0.7671], [0.3632, 0.8957, 0.7327], [0.6368, 0.1043, 0.2673], [0.6849, 0.6849, 0.2329], [0.8957, 0.3632, 0.7327], [0.9545, 0.9545, 0.7626]]
}

***

Entry 8:
{
  "formula": "PrSmHo4",
  "functional": "GGA-PBE",
  "state": "relaxed",
  "magnetic_moment_mub_per_atom": 0.000,
  "formation_enthalpy_0k_ev_per_atom": 0.132,
  "spacegroup": "No. 11",
  "total_energy_ev_per_atom": -4.50,
  "vol_a3_per_atom": 33.3,
  "cell": [[6.3226, 0.0000, 0.0000], [0.0000, 7.2460, 0.0000], [-3.1565, 0.0000, 8.7176]],
  "species": ["Pr", "Pr", "Sm", "Sm", "Ho", "Ho", "Ho", "Ho", "Ho", "Ho", "Ho", "Ho"],
  "fractional_positions": [[0.1901, 0.2500, 0.3714], [0.8099, 0.7500, 0.6286], [0.2387, 0.7500, 0.0026], [0.7613, 0.2500, 0.9974], [0.1744, 0.7500, 0.3638], [0.2584, 0.2500, 0.9972], [0.3560, 0.5029, 0.7110], [0.3560, 0.9971, 0.7110], [0.6440, 0.0029, 0.2890], [0.6440, 0.4971, 0.2890], [0.7416, 0.7500, 0.0028], [0.8256, 0.2500, 0.6362]]
}

***

Entry 9:
{
  "formula": "Pr8Sm4Ho",
  "functional": "GGA-PBE",
  "state": "relaxed",
  "magnetic_moment_mub_per_atom": 0.001,
  "formation_enthalpy_0k_ev_per_atom": 0.399,
  "spacegroup": "No. 166",
  "total_energy_ev_per_atom": -4.35,
  "vol_a3_per_atom": 37.3,
  "cell": [[5.9598, 3.4409, 3.9373], [-5.9598, 3.4409, 3.9373], [0.0000, -6.8818, 3.9373]],
  "species": ["Pr", "Pr", "Pr", "Pr", "Pr", "Pr", "Pr", "Pr", "Sm", "Sm", "Sm", "Sm", "Ho"],
  "fractional_positions": [[0.1687, 0.1687, 0.6693], [0.1687, 0.6693, 0.1687], [0.2430, 0.2430, 0.2430], [0.3307, 0.8313, 0.8313], [0.6693, 0.1687, 0.1687], [0.7570, 0.7570, 0.7570], [0.8313, 0.3307, 0.8313], [0.8313, 0.8313, 0.3307], [0.0000, 0.0000, 0.0000], [0.0000, 0.5000, 0.5000], [0.5000, 0.0000, 0.5000], [0.5000, 0.5000, 0.0000], [0.5000, 0.5000, 0.5000]]
}

***

Question: Which formula does entry 3 have?
Answer: Pr6Sm2Ho5